## Nd12Sm3Sc (PBE)

Data for a relaxed structure of Nd12Sm3Sc.

abc: 5.158 5.158 20.593
angles: 90.00 90.00 90.00
Positions (direct):
1 Nd 0.500 0.500 0.000
2 Nd 0.500 0.500 0.247
3 Nd 0.500 0.500 0.500
4 Nd 0.500 0.500 0.753
5 Nd 0.500 0.000 0.120
6 Nd 0.500 0.000 0.373
7 Nd 0.500 0.000 0.627
8 Nd 0.500 0.000 0.880
9 Nd 0.000 0.500 0.120
10 Nd 0.000 0.500 0.373
11 Nd 0.000 0.500 0.627
12 Nd 0.000 0.500 0.880
13 Sm 0.000 0.000 0.247
14 Sm 0.000 0.000 0.500
15 Sm 0.000 0.000 0.753
16 Sc 0.000 0.000 0.000

Properties
total energy = -4.8358 eV/atom
E_form = 0.021 eV per atom
volume = 34.2 A^3/atom
space group = P4/mmm, No. 123

## Nd6SmSc (PBE)

Data for a relaxed structure of Nd6SmSc.

abc: 5.801 5.801 9.325
angles: 77.73 77.73 77.18
Positions (direct):
1 Nd 0.461 0.946 0.706
2 Nd 0.946 0.461 0.706
3 Nd 0.054 0.539 0.294
4 Nd 0.539 0.054 0.294
5 Nd 0.634 0.634 0.074
6 Nd 0.366 0.366 0.926
7 Sm 0.500 0.500 0.500
8 Sc 0.000 0.000 0.000

Properties
energy above the most stable polymorph in this dataset = 330 meV/atom
total energy = -4.5975 eV/atom
E_form = 0.360 eV per atom
volume = 36.8 A^3/atom
space group = C2/m, No. 12

## Nd3Sm4Sc (PBE)

Data for a relaxed structure of Nd3Sm4Sc.

abc: 6.307 7.312 11.601
angles: 90.00 90.00 90.00
Positions (direct):
1 Nd 0.647 0.624 0.000
2 Nd 0.978 0.622 0.249
3 Nd 0.478 0.378 0.251
4 Nd 0.147 0.376 0.500
5 Nd 0.478 0.378 0.749
6 Nd 0.978 0.622 0.751
7 Sm 0.152 0.874 0.000
8 Sm 0.644 0.127 0.000
9 Sm 0.986 0.127 0.244
10 Sm 0.486 0.873 0.256
11 Sm 0.144 0.873 0.500
12 Sm 0.652 0.126 0.500
13 Sm 0.486 0.873 0.744
14 Sm 0.986 0.127 0.756
15 Sc 0.145 0.374 0.000
16 Sc 0.645 0.626 0.500

Properties
energy above the most stable polymorph in this dataset = 0 meV/atom
total energy = -4.8951 eV/atom
E_form = 0.044 eV per atom
volume = 33.4 A^3/atom
space group = Pmn2_1, No. 31

## NdSmSc4 (PBE)

Data for a relaxed structure of NdSmSc4.

abc: 5.383 8.509 9.896
angles: 104.95 90.01 129.22
Positions (direct):
1 Nd 0.374 0.624 0.248
2 Nd 0.626 0.376 0.752
3 Sm 0.124 0.874 0.749
4 Sm 0.876 0.126 0.251
5 Sc 0.957 0.207 0.917
6 Sc 0.460 0.710 0.917
7 Sc 0.292 0.542 0.583
8 Sc 0.708 0.458 0.417
9 Sc 0.209 0.959 0.417
10 Sc 0.540 0.290 0.083
11 Sc 0.791 0.041 0.583
12 Sc 0.043 0.793 0.083

Properties
energy above the most stable polymorph in this dataset = 32 meV/atom
total energy = -5.7248 eV/atom
E_form = 0.077 eV per atom
volume = 27.6 A^3/atom
space group = Cmcm, No. 63